# 1
TiInS2: optimized geometry, PBE-GGA.

Geometry as POSCAR:
```
TiInS2
1.0
6.569 0.000 0.000
0.000 6.569 0.000
3.284 3.284 3.294
S Ti In
4 2 2
direct
0.750 0.250 0.000
0.250 0.750 0.000
0.250 0.250 0.000
0.750 0.750 0.000
0.750 0.750 0.500
0.250 0.250 0.500
0.750 0.250 0.500
0.250 0.750 0.500
```

Calculated values
formation energy without anion corrections: -32.1 kJ per mole of atoms
calculated volume: 17.768 Å³/atom

***

# 2
TiInS2: optimized geometry, PBE-GGA.

Geometry as POSCAR:
```
TiInS2
1.0
17.634 0.000 3.513
1.865 4.610 -3.945
-1.865 4.610 3.945
S Ti In
16 8 8
direct
0.078 0.764 0.774
0.422 0.274 0.264
0.922 0.236 0.226
0.578 0.726 0.736
0.750 0.124 0.126
0.750 0.626 0.624
0.250 0.876 0.874
0.250 0.374 0.376
0.422 0.804 0.158
0.078 0.658 0.304
0.578 0.196 0.842
0.922 0.342 0.696
0.750 0.149 0.649
0.250 0.851 0.351
0.750 0.602 0.102
0.250 0.398 0.898
0.326 0.587 0.163
0.174 0.663 0.087
0.674 0.413 0.837
0.826 0.337 0.913
0.313 0.093 0.156
0.187 0.656 0.593
0.687 0.907 0.844
0.813 0.344 0.407
0.086 0.219 0.292
0.414 0.792 0.719
0.914 0.781 0.708
0.586 0.208 0.281
0.414 0.288 0.695
0.086 0.195 0.788
0.586 0.712 0.305
0.914 0.805 0.212
```

Calculated values
formation energy without anion corrections: -81.9 kJ per mole of atoms
calculated volume: 21.934 Å³/atom

***

# 3
TiInS2: optimized geometry, PBE-GGA.

Geometry as POSCAR:
```
TiInS2
1.0
-7.680 3.365 0.183
-0.002 -0.187 3.329
5.426 12.348 0.695
S Ti In
8 4 4
direct
0.674 0.250 0.551
0.826 0.750 0.051
0.326 0.750 0.449
0.174 0.250 0.949
0.355 0.250 0.701
0.145 0.750 0.201
0.645 0.750 0.299
0.855 0.250 0.799
0.525 0.250 0.403
0.975 0.750 0.903
0.475 0.750 0.597
0.025 0.250 0.097
0.028 0.250 0.617
0.472 0.750 0.117
0.972 0.750 0.383
0.528 0.250 0.883
```

Calculated values
formation energy without anion corrections: -86.3 kJ per mole of atoms
calculated volume: 23.603 Å³/atom

***

# 4
TiInS2: optimized geometry, PBE-GGA.

Geometry as POSCAR:
```
TiInS2
1.0
5.429 0.000 0.000
0.000 5.429 0.000
2.714 2.714 5.509
S Ti In
4 2 2
direct
0.729 0.729 0.542
0.021 0.521 0.958
0.271 0.271 0.458
0.479 0.979 0.042
0.500 0.500 0.000
0.250 0.750 0.500
0.000 0.000 0.000
0.750 0.250 0.500
```

Calculated values
formation energy without anion corrections: -62.8 kJ per mole of atoms
calculated volume: 20.296 Å³/atom

***

| no. | uncorrected energy (eV/atom) |
| --- | --- |
| 1 | -5.0544 |
| 2 | -5.5714 |
| 3 | -5.6164 |
| 4 | -5.3734 |